Computed, not measured: Sm2Al4Pt3Rh after structural relaxation at the PBE level of DFT.

Properties
- Formation energy from the elements: -106.0 kJ/mol of atoms
- Crystal system: tetragonal
- DOS(E_F): 7.458 states/eV/f.u.
- SG: No. 115

Cell lengths 4.257, 4.257, 10.348 Å; angles 90.00, 90.00, 90.00 degrees
Fractional positions:
1 Pt 0.500 0.000 0.866
2 Pt 0.000 0.500 0.134
3 Pt 0.000 0.000 0.500
4 Sm 0.500 0.000 0.253
5 Sm 0.000 0.500 0.747
6 Al 0.000 0.000 0.000
7 Al 0.000 0.500 0.374
8 Al 0.500 0.000 0.626
9 Al 0.500 0.500 0.000
10 Rh 0.500 0.500 0.500